# 1
# La3CeDy2Se6 PBE-GGA optimized geometry
data_La3CeDy2Se6
_chemical_formula_sum 'La3 Ce1 Dy2 Se6'
_cell_length_a 7.2868
_cell_length_b 7.2868
_cell_length_c 7.3423
_cell_angle_alpha 99.56
_cell_angle_beta 99.56
_cell_angle_gamma 120.12
_symmetry_space_group_name_H-M 'P 1'
_symmetry_Int_Tables_number 1
loop_
_symmetry_equiv_pos_as_xyz
'x,y,z'
loop_
_atom_site_label
_atom_site_fract_x
_atom_site_fract_y
_atom_site_fract_z
La1 0.1644 0.8356 0.5000
La2 0.8356 0.1644 0.5000
La3 0.5000 0.5000 0.5000
Ce1 0.0000 0.0000 0.0000
Dy1 0.3330 0.6670 0.0000
Dy2 0.6670 0.3330 0.0000
Se1 0.9215 0.5817 0.7645
Se2 0.7376 0.7376 0.2332
Se3 0.0785 0.4183 0.2355
Se4 0.5817 0.9215 0.7645
Se5 0.2624 0.2624 0.7668
Se6 0.4183 0.0785 0.2355
# density = 7.08 g/cm3
# space-group type = No. 12
# uncorrected formation energy = -1.890 eV/atom
# VASP energy = -6.1253 eV/atom



# 2
# GdScGaGe PBE-GGA optimized geometry
data_GdScGaGe
_chemical_formula_sum 'Gd1 Sc1 Ga1 Ge1'
_cell_length_a 4.9418
_cell_length_b 4.9418
_cell_length_c 4.9418
_cell_angle_alpha 60.00
_cell_angle_beta 60.00
_cell_angle_gamma 60.00
_symmetry_space_group_name_H-M 'P 1'
_symmetry_Int_Tables_number 1
loop_
_symmetry_equiv_pos_as_xyz
'x,y,z'
loop_
_atom_site_label
_atom_site_fract_x
_atom_site_fract_y
_atom_site_fract_z
Sc1 0.5000 0.5000 0.5000
Ge1 0.2500 0.2500 0.2500
Gd1 0.0000 0.0000 0.0000
Ga1 0.7500 0.7500 0.7500
# density = 6.70 g/cm3
# space-group type = No. 216
# VASP energy = -7.5828 eV/atom
# formation energy = -0.569 eV/atom



# 3
# TcMoRh2 PBE-GGA optimized geometry
data_TcMoRh2
_chemical_formula_sum 'Tc1 Mo1 Rh2'
_cell_length_a 3.3165
_cell_length_b 3.3165
_cell_length_c 5.4471
_cell_angle_alpha 90.00
_cell_angle_beta 90.00
_cell_angle_gamma 90.00
_symmetry_space_group_name_H-M 'P 1'
_symmetry_Int_Tables_number 1
loop_
_symmetry_equiv_pos_as_xyz
'x,y,z'
loop_
_atom_site_label
_atom_site_fract_x
_atom_site_fract_y
_atom_site_fract_z
Mo1 0.5000 0.5000 0.7500
Rh1 0.0000 0.0000 0.0002
Rh2 0.0000 0.0000 0.4998
Tc1 0.5000 0.5000 0.2500
# density = 11.08 g/cm3
# space-group type = No. 123
# VASP energy = -8.7758 eV/atom
# energy above the lowest structure with this stoichiometry = 1.634 eV per formula unit
# formation energy = 0.199 eV/atom



# 4
# ZnAsF2 PBE-GGA optimized geometry
data_ZnAsF2
_chemical_formula_sum 'Zn1 As1 F2'
_cell_length_a 7.8091
_cell_length_b 7.8091
_cell_length_c 7.8091
_cell_angle_alpha 20.77
_cell_angle_beta 20.77
_cell_angle_gamma 20.77
_symmetry_space_group_name_H-M 'P 1'
_symmetry_Int_Tables_number 1
loop_
_symmetry_equiv_pos_as_xyz
'x,y,z'
loop_
_atom_site_label
_atom_site_fract_x
_atom_site_fract_y
_atom_site_fract_z
As1 0.0000 0.0000 0.0000
Zn1 0.5000 0.5000 0.5000
F1 0.9132 0.9132 0.9132
F2 0.0868 0.0868 0.0868
# density = 5.65 g/cm3
# space-group type = No. 166
# uncorrected formation energy = -1.128 eV/atom
# VASP energy = -3.5446 eV/atom
# energy above the lowest structure with this stoichiometry = 0.000 eV per formula unit